A plane-wave DFT calculation with PBE was carried out for an optimized crystal structure of TaAu2Se.

Unit cell a=3.000 b=4.684 c=5.361 alpha=90.00 beta=102.26 gamma=90.00
Atoms (fractional coordinates):
Ta 0.000 0.000 0.000
Au 0.354 0.500 0.747
Au 0.646 0.500 0.253
Se 0.000 0.000 0.500

Properties
Total magnetization: 0.00 μB/f.u.
Formation energy (no corrections): 0.234 eV per atom

***

A plane-wave DFT calculation with PBE was carried out for an optimized crystal structure of NaSmCdRh.

Unit cell a=4.946 b=4.946 c=4.946 alpha=60.00 beta=60.00 gamma=60.00
Atoms (fractional coordinates):
Na 0.000 0.000 0.000
Sm 0.250 0.250 0.250
Cd 0.750 0.750 0.750
Rh 0.500 0.500 0.500

Properties
Total magnetization: 0.00 μB/f.u.
ΔE_f: -201 meV/atom

***

A plane-wave DFT calculation with PBE was carried out for an optimized crystal structure of NdZrPa2N4.

Unit cell a=5.985 b=3.488 c=6.056 alpha=90.00 beta=109.57 gamma=90.00
Atoms (fractional coordinates):
Nd 0.000 0.000 0.000
Zr 0.000 0.500 0.500
Pa 0.500 0.000 0.500
Pa 0.500 0.500 0.000
N 0.253 0.000 0.736
N 0.265 0.500 0.273
N 0.735 0.500 0.727
N 0.747 0.000 0.264

Properties
Total magnetization: 0.00 μB/f.u.
Formation energy (no corrections): -1.566 eV per atom

***

A plane-wave DFT calculation with PBE was carried out for an optimized crystal structure of TiCoPt2.

Unit cell a=9.148 b=9.148 c=9.148 alpha=156.09 beta=156.09 gamma=34.07
Atoms (fractional coordinates):
Ti 0.000 0.000 0.000
Ti 0.750 0.250 0.500
Co 0.250 0.750 0.500
Co 0.500 0.500 0.000
Pt 0.134 0.625 0.009
Pt 0.375 0.384 0.509
Pt 0.616 0.125 0.991
Pt 0.875 0.866 0.491

Properties
Total magnetization: 0.60 μB/f.u.
ΔE_f: -192 meV/atom

***

A plane-wave DFT calculation with PBE was carried out for an optimized crystal structure of Gd3LuCo.

Unit cell a=5.291 b=5.291 c=5.291 alpha=90.00 beta=90.00 gamma=90.00
Atoms (fractional coordinates):
Gd 0.000 0.000 0.500
Gd 0.000 0.500 0.000
Gd 0.500 0.000 0.000
Lu 0.500 0.500 0.500
Co 0.000 0.000 0.000

Properties
Total magnetization: 22.68 μB/f.u.
ΔE_f: 24 meV/atom

***

A plane-wave DFT calculation with PBE was carried out for an optimized crystal structure of PuMn2.

Unit cell a=5.093 b=5.093 c=5.093 alpha=60.00 beta=60.00 gamma=60.00
Atoms (fractional coordinates):
Pu 0.125 0.125 0.125
Pu 0.875 0.875 0.875
Mn 0.000 0.500 0.500
Mn 0.500 0.000 0.500
Mn 0.500 0.500 0.000
Mn 0.500 0.500 0.500

Properties
Total magnetization: 0.68 μB/f.u.
ΔE_f: 75 meV/atom

***

A plane-wave DFT calculation with PBE was carried out for an optimized crystal structure of NbGaF2.

Unit cell a=5.806 b=5.806 c=5.806 alpha=102.99 beta=102.99 gamma=123.39
Atoms (fractional coordinates):
Nb 0.000 0.000 0.000
Nb 0.750 0.250 0.500
Ga 0.250 0.750 0.500
Ga 0.500 0.500 0.000
F 0.000 0.625 0.875
F 0.375 0.250 0.375
F 0.750 0.125 0.125
F 0.875 0.000 0.625

Properties
Total magnetization: 1.46 μB/f.u.
Formation energy (no corrections): -1.118 eV per atom

***

A plane-wave DFT calculation with PBE was carried out for an optimized crystal structure of Hg3PdC.

Unit cell a=5.294 b=5.294 c=5.294 alpha=90.00 beta=90.00 gamma=90.00
Atoms (fractional coordinates):
Hg 0.000 0.000 0.500
Hg 0.000 0.500 0.000
Hg 0.500 0.000 0.000
Pd 0.000 0.000 0.000
C 0.500 0.500 0.500

Properties
Total magnetization: 2.27 μB/f.u.
ΔE_f: 1401 meV/atom

***

A plane-wave DFT calculation with PBE was carried out for an optimized crystal structure of BaMn2Pt.

Unit cell a=5.986 b=5.986 c=3.171 alpha=104.66 beta=104.66 gamma=118.84
Atoms (fractional coordinates):
Ba 0.000 0.000 0.000
Mn 0.000 0.500 0.500
Mn 0.500 0.000 0.500
Pt 0.500 0.500 0.000

Properties
Total magnetization: 7.97 μB/f.u.
ΔE_f: 589 meV/atom

***

A plane-wave DFT calculation with PBE was carried out for an optimized crystal structure of DyErCoAg.

Unit cell a=3.355 b=3.355 c=7.499 alpha=90.00 beta=90.00 gamma=90.00
Atoms (fractional coordinates):
Dy 0.000 0.000 0.000
Er 0.000 0.000 0.562
Co 0.500 0.500 0.778
Ag 0.500 0.500 0.285

Properties
Total magnetization: 0.64 μB/f.u.
ΔE_f: -259 meV/atom

***

A plane-wave DFT calculation with PBE was carried out for an optimized crystal structure of Nd3BeP2N6.

Unit cell a=5.452 b=5.452 c=6.136 alpha=90.00 beta=90.00 gamma=120.00
Atoms (fractional coordinates):
Nd 0.000 0.000 0.000
Nd 0.333 0.667 0.653
Nd 0.667 0.333 0.347
Be 0.000 0.000 0.500
P 0.333 0.667 0.197
P 0.667 0.333 0.803
N 0.172 0.343 0.303
N 0.172 0.828 0.303
N 0.343 0.172 0.697
N 0.657 0.828 0.303
N 0.828 0.172 0.697
N 0.828 0.657 0.697

Properties
Total magnetization: 0.00 μB/f.u.
Formation energy (no corrections): -0.896 eV per atom

***

A plane-wave DFT calculation with PBE was carried out for an optimized crystal structure of V2GaRu.

Unit cell a=3.207 b=3.207 c=5.429 alpha=90.00 beta=90.00 gamma=90.00
Atoms (fractional coordinates):
V 0.000 0.000 0.242
V 0.000 0.000 0.758
Ga 0.500 0.500 0.500
Ru 0.500 0.500 0.000

Properties
Total magnetization: 0.00 μB/f.u.
ΔE_f: -132 meV/atom

***

A plane-wave DFT calculation with PBE was carried out for an optimized crystal structure of La2ScRu.

Unit cell a=5.234 b=5.234 c=5.234 alpha=60.00 beta=60.00 gamma=60.00
Atoms (fractional coordinates):
La 0.250 0.250 0.250
La 0.750 0.750 0.750
Sc 0.000 0.000 0.000
Ru 0.500 0.500 0.500

Properties
Total magnetization: 0.00 μB/f.u.
ΔE_f: 114 meV/atom

***

A plane-wave DFT calculation with PBE was carried out for an optimized crystal structure of Ti4MoIr2.

Unit cell a=5.345 b=5.345 c=5.345 alpha=108.54 beta=108.54 gamma=111.34
Atoms (fractional coordinates):
Ti 0.000 0.000 0.500
Ti 0.000 0.500 0.000
Ti 0.500 0.000 0.000
Ti 0.500 0.500 0.500
Mo 0.000 0.000 0.000
Ir 0.000 0.500 0.500
Ir 0.500 0.000 0.500

Properties
Total magnetization: 0.00 μB/f.u.
ΔE_f: -476 meV/atom

***

A plane-wave DFT calculation with PBE was carried out for an optimized crystal structure of DyCo4C.

Unit cell a=6.935 b=6.935 c=5.608 alpha=90.00 beta=90.00 gamma=146.99
Atoms (fractional coordinates):
Dy 0.102 0.898 0.750
Dy 0.898 0.102 0.250
Co 0.118 0.882 0.250
Co 0.296 0.704 0.522
Co 0.296 0.704 0.978
Co 0.500 0.500 0.000
Co 0.500 0.500 0.500
Co 0.704 0.296 0.022
Co 0.704 0.296 0.478
Co 0.882 0.118 0.750
C 0.400 0.600 0.750
C 0.600 0.400 0.250

Properties
Total magnetization: 2.82 μB/f.u.
ΔE_f: -29 meV/atom

***

A plane-wave DFT calculation with PBE was carried out for an optimized crystal structure of Pd3Pt7Rh.

Unit cell a=6.728 b=6.728 c=6.728 alpha=138.17 beta=106.25 gamma=88.57
Atoms (fractional coordinates):
Pd 0.000 0.000 0.000
Pd 0.235 0.735 0.500
Pd 0.765 0.265 0.500
Pt 0.085 0.251 0.833
Pt 0.173 0.500 0.673
Pt 0.418 0.251 0.167
Pt 0.500 0.000 0.500
Pt 0.582 0.749 0.833
Pt 0.827 0.500 0.327
Pt 0.915 0.749 0.167
Rh 0.500 0.500 0.000

Properties
Total magnetization: 0.51 μB/f.u.
ΔE_f: 310 meV/atom

***

A plane-wave DFT calculation with PBE was carried out for an optimized crystal structure of CuRuSe4.

Unit cell a=5.576 b=5.576 c=5.576 alpha=60.00 beta=60.00 gamma=60.00
Atoms (fractional coordinates):
Cu 0.000 0.000 0.000
Ru 0.750 0.750 0.750
Se 0.375 0.375 0.375
Se 0.375 0.375 0.875
Se 0.375 0.875 0.375
Se 0.875 0.375 0.375

Properties
Total magnetization: 3.08 μB/f.u.
Formation energy (no corrections): 1.126 eV per atom

***

A plane-wave DFT calculation with PBE was carried out for an optimized crystal structure of Al6Ag5.

Unit cell a=9.384 b=9.384 c=6.944 alpha=104.42 beta=104.42 gamma=18.40
Atoms (fractional coordinates):
Al 0.000 0.000 0.000
Al 0.180 0.180 0.470
Al 0.269 0.269 0.182
Al 0.362 0.362 0.904
Al 0.449 0.449 0.635
Al 0.544 0.544 0.366
Ag 0.082 0.082 0.717
Ag 0.634 0.634 0.110
Ag 0.728 0.728 0.830
Ag 0.814 0.814 0.537
Ag 0.909 0.909 0.262

Properties
Total magnetization: 0.00 μB/f.u.
ΔE_f: -15 meV/atom

***

A plane-wave DFT calculation with PBE was carried out for an optimized crystal structure of RbOsPd2.

Unit cell a=8.942 b=8.942 c=8.942 alpha=144.07 beta=144.07 gamma=51.72
Atoms (fractional coordinates):
Rb 0.000 0.000 0.000
Rb 0.750 0.250 0.500
Os 0.250 0.750 0.500
Os 0.500 0.500 0.000
Pd 0.374 0.625 0.249
Pd 0.375 0.624 0.749
Pd 0.376 0.125 0.751
Pd 0.875 0.626 0.251

Properties
Total magnetization: 0.00 μB/f.u.
ΔE_f: 956 meV/atom

***

A plane-wave DFT calculation with PBE was carried out for an optimized crystal structure of CrNiIN2.

Unit cell a=3.642 b=3.642 c=5.781 alpha=90.00 beta=90.00 gamma=90.00
Atoms (fractional coordinates):
Cr 0.000 0.000 0.000
Ni 0.500 0.500 0.500
I 0.000 0.000 0.500
N 0.000 0.500 0.000
N 0.500 0.000 0.000

Properties
Total magnetization: 0.00 μB/f.u.
Formation energy (no corrections): 0.744 eV per atom

***

A plane-wave DFT calculation with PBE was carried out for an optimized crystal structure of Pu3Bi5.

Unit cell a=6.902 b=6.902 c=5.138 alpha=90.00 beta=90.00 gamma=99.28
Atoms (fractional coordinates):
Pu 0.000 0.000 0.000
Pu 0.291 0.709 0.500
Pu 0.709 0.291 0.500
Bi 0.000 0.500 0.000
Bi 0.217 0.217 0.500
Bi 0.500 0.000 0.000
Bi 0.500 0.500 0.000
Bi 0.783 0.783 0.500

Properties
Total magnetization: 5.36 μB/f.u.
ΔE_f: -233 meV/atom

***

A plane-wave DFT calculation with PBE was carried out for an optimized crystal structure of SmLuScCd.

Unit cell a=5.337 b=5.337 c=5.337 alpha=60.00 beta=60.00 gamma=60.00
Atoms (fractional coordinates):
Sm 0.000 0.000 0.000
Lu 0.500 0.500 0.500
Sc 0.750 0.750 0.750
Cd 0.250 0.250 0.250

Properties
Total magnetization: 0.02 μB/f.u.
ΔE_f: -35 meV/atom

***

A plane-wave DFT calculation with PBE was carried out for an optimized crystal structure of NdTmNi2.

Unit cell a=4.828 b=4.828 c=4.828 alpha=60.00 beta=60.00 gamma=60.00
Atoms (fractional coordinates):
Nd 0.000 0.000 0.000
Tm 0.500 0.500 0.500
Ni 0.250 0.250 0.250
Ni 0.750 0.750 0.750

Properties
Total magnetization: 0.00 μB/f.u.
ΔE_f: -322 meV/atom

***

A plane-wave DFT calculation with PBE was carried out for an optimized crystal structure of CdIr2Os.

Unit cell a=4.859 b=4.859 c=4.901 alpha=99.60 beta=99.60 gamma=33.40
Atoms (fractional coordinates):
Cd 0.000 0.000 0.000
Ir 0.241 0.241 0.757
Ir 0.500 0.500 0.493
Os 0.763 0.763 0.300

Properties
Total magnetization: 0.00 μB/f.u.
ΔE_f: 283 meV/atom

***

A plane-wave DFT calculation with PBE was carried out for an optimized crystal structure of EuYTh2.

Unit cell a=3.565 b=3.565 c=10.533 alpha=90.00 beta=90.00 gamma=90.00
Atoms (fractional coordinates):
Eu 0.000 0.000 0.000
Y 0.000 0.000 0.500
Th 0.500 0.500 0.260
Th 0.500 0.500 0.740

Properties
Total magnetization: 7.37 μB/f.u.
ΔE_f: 133 meV/atom

***

A plane-wave DFT calculation with PBE was carried out for an optimized crystal structure of LaEuIn.

Unit cell a=5.521 b=5.521 c=3.380 alpha=90.00 beta=90.00 gamma=120.00
Atoms (fractional coordinates):
La 0.000 0.000 0.000
Eu 0.333 0.667 0.000
In 0.667 0.333 0.500

Properties
Total magnetization: 7.19 μB/f.u.
ΔE_f: -216 meV/atom

***

A plane-wave DFT calculation with PBE was carried out for an optimized crystal structure of Na2HN.

Unit cell a=5.504 b=5.504 c=5.504 alpha=111.80 beta=111.80 gamma=104.91
Atoms (fractional coordinates):
Na 0.099 0.625 0.974
Na 0.375 0.349 0.474
Na 0.651 0.125 0.026
Na 0.875 0.901 0.526
H 0.000 0.000 0.000
H 0.750 0.250 0.500
N 0.250 0.750 0.500
N 0.500 0.500 0.000

Properties
Total magnetization: 2.00 μB/f.u.

***

| no. | mass density (kg/m3) | VASP energy (eV per atom) |
| --- | --- | --- |
| 1 | 14750 | -5.2394 |
| 2 | 7541 | -3.7773 |
| 3 | 10505 | -9.7676 |
| 4 | 13137 | -6.9629 |
| 5 | 7910 | -10.7499 |
| 6 | 12580 | -10.8153 |
| 7 | 4631 | -5.3277 |
| 8 | 8062 | -1.6636 |
| 9 | 8503 | -5.9863 |
| 10 | 9770 | -5.0393 |
| 11 | 6178 | -7.4630 |
| 12 | 8112 | -7.7675 |
| 13 | 6942 | -6.2515 |
| 14 | 9501 | -9.0667 |
| 15 | 9273 | -7.0703 |
| 16 | 15892 | -5.6188 |
| 17 | 6508 | -3.4260 |
| 18 | 6236 | -3.3525 |
| 19 | 6627 | -4.6899 |
| 20 | 5751 | -5.9767 |
| 21 | 12216 | -8.0327 |
| 22 | 7457 | -4.1568 |
| 23 | 8986 | -5.5227 |
| 24 | 18188 | -7.1840 |
| 25 | 8743 | -7.7619 |
| 26 | 7549 | -6.1961 |
| 27 | 1586 | -2.9404 |